[1]
Entry from Alexandria: a relaxed structure of ScCo2Ru (PBE-GGA).

- DFT formation energy (eV/f.u.) = -0.36
- spin magnetization (μB/cell) = 3.58
- VASP energy (Ry/atom) = -0.555
- relative energy among the computed polymorphs (eV/atom) = 0.000
- space-group type = P4/mmm

a b c (Å): 3.144 4.196 4.196
angles (deg): 90.00 90.00 90.00
Each line ends with the local moment (μB).
Atoms (fractional coordinates):
Co: 0.000 0.000 0.000  1.48
Co: 0.000 0.500 0.500  1.48
Ru: 0.500 0.500 0.000  0.98
Sc: 0.500 0.000 0.500  -0.26


[2]
Entry from Alexandria: a relaxed structure of La2Os2S (PBE-GGA).

- raw formation energy (kJ/mol of formula units) = -51
- spin magnetization (μB/cell) = 0.00
- VASP energy (Ry/atom) = -0.543
- relative energy among the computed polymorphs (eV/atom) = 0.000
- space-group type = I4/mmm

a b c (Å): 5.751 5.751 5.442
angles (deg): 58.10 58.10 90.00
Atoms (fractional coordinates):
S: 0.000 0.000 0.000
Os: 0.325 0.325 0.350
Os: 0.675 0.675 0.650
La: 0.750 0.250 0.500
La: 0.250 0.750 0.500


[3]
Entry from Alexandria: a relaxed structure of Pr3Dy3ErTe8 (PBE-GGA).

- raw formation energy (kJ/mol of formula units) = -2034
- spin magnetization (μB/cell) = 0.00
- VASP energy (Ry/atom) = -0.387
- space-group type = R-3m

a b c (Å): 8.807 8.808 8.882
angles (deg): 119.72 90.00 120.00
Atoms (fractional coordinates):
Pr: 0.000 0.000 0.000
Pr: 0.000 0.500 0.000
Pr: 0.500 0.500 0.000
Dy: 0.500 0.000 0.500
Dy: 0.500 0.500 0.500
Dy: 0.000 0.500 0.500
Er: 0.000 0.000 0.500
Te: 0.255 0.509 0.264
Te: 0.745 0.491 0.736
Te: 0.750 0.500 0.259
Te: 0.250 0.500 0.741
Te: 0.750 0.009 0.259
Te: 0.250 0.991 0.741
Te: 0.259 0.009 0.259
Te: 0.741 0.991 0.741